[1]
Material: GdHfPO
Method: DFT, PBE
State: relaxed

Cell: 4.1386 4.1386 8.5449 Å, 90.00 90.00 90.00°
Last column: nearest neighbours and their distance in Å.
Space group P4/nmm (No. 129, origin choice 2)
One atom of each set of equivalent atoms:
Gd (0.2500, 0.2500, 0.1197) [2 per cell]  4 O 2.31
Hf (0.2500, 0.7500, 0.5000) [2 per cell]  4 P 2.59
P (0.2500, 0.2500, 0.6825) [2 per cell]  4 Hf 2.59
O (0.2500, 0.7500, 0.0000) [2 per cell]  4 Gd 2.31

## Properties
Size of the total moment in μB/f.u.: 0.007
Energy above the most stable polymorph in this dataset in meV/atom: 0

[2]
Material: GdHfPO
Method: DFT, PBE
State: relaxed

Cell: 4.1003 4.1003 8.0354 Å, 90.00 90.00 90.00°
Last column: nearest neighbours and their distance in Å.
Space group P4/nmm (No. 129, origin choice 2)
One atom of each set of equivalent atoms:
Gd (0.2500, 0.7500, 0.0000) [2 per cell]  4 P 2.81, 4 Gd 2.90
Hf (0.2500, 0.2500, 0.3943) [2 per cell]  4 O 2.22
P (0.2500, 0.2500, 0.7604) [2 per cell]  4 Gd 2.81, 4 O 2.93, 1 Hf 2.94
O (0.2500, 0.7500, 0.5000) [2 per cell]  4 Hf 2.22

## Properties
Size of the total moment in μB/f.u.: 0.015
Energy above the most stable polymorph in this dataset in meV/atom: 532

[3]
Material: GdHfPO
Method: DFT, PBE
State: relaxed

Cell: 5.1103 4.0223 7.3183 Å, 90.00 90.00 90.00°
Last column: nearest neighbours and their distance in Å.
Space group Pmma (No. 51)
One atom of each set of equivalent atoms:
Gd (0.2500, 0.0000, 0.1401) [2 per cell]  3 O 2.35-2.57
Hf (0.2500, 0.5000, 0.7326) [2 per cell]  2 O 2.11
P (0.2500, 0.5000, 0.3832) [2 per cell]  3 Hf 2.56-2.69, 2 Gd 2.69
O (0.2500, 0.0000, 0.8185) [2 per cell]  2 Hf 2.11, 1 Gd 2.35

## Properties
Size of the total moment in μB/f.u.: 0.002
Energy above the most stable polymorph in this dataset in meV/atom: 171

[4]
Material: GdHfPO
Method: DFT, PBE
State: relaxed

Cell: 4.0487 4.0487 8.1898 Å, 90.00 90.00 90.00°
Last column: nearest neighbours and their distance in Å.
Space group P4/nmm (No. 129, origin choice 2)
One atom of each set of equivalent atoms:
Gd (0.2500, 0.7500, 0.0000) [2 per cell]  4 P 2.81, 4 Gd 2.86
Hf (0.2500, 0.2500, 0.3884) [2 per cell]  4 O 2.22
P (0.2500, 0.2500, 0.7615) [2 per cell]  4 Gd 2.81, 4 O 2.95, 5 Hf 3.06-3.11
O (0.2500, 0.7500, 0.5000) [2 per cell]  4 Hf 2.22

## Properties
Size of the total moment in μB/f.u.: 0.038
Energy above the most stable polymorph in this dataset in meV/atom: 533

[5]
Material: GdHfPO
Method: DFT, PBE
State: relaxed

Cell: 3.9672 7.2421 5.7476 Å, 90.00 90.00 90.00°
Last column: nearest neighbours and their distance in Å.
Space group Pmc2_1 (No. 26)
One atom of each set of equivalent atoms:
Gd (0.0000, 0.2109, 0.0000) [2 per cell]  2 O 2.28
Hf (0.5000, 0.3882, 0.5447) [2 per cell]  2 O 2.08-2.09
P (0.0000, 0.1708, 0.4972) [2 per cell]  2 Hf 2.55, 1 Gd 2.76
O (0.5000, 0.3473, 0.9045) [2 per cell]  2 Hf 2.08-2.09, 2 Gd 2.28

## Properties
Size of the total moment in μB/f.u.: 0.020
Energy above the most stable polymorph in this dataset in meV/atom: 199

[6]
Material: GdHfPb
Method: DFT, PBE
State: relaxed

Cell: 7.0616 7.0616 7.0616 Å, 90.00 90.00 90.00°
Last column: nearest neighbours and their distance in Å.
Space group F-43m (No. 216)
One atom of each set of equivalent atoms:
Gd (0.0000, 0.0000, 0.0000) [4 per cell]  4 Pb 3.06
Hf (0.0000, 0.0000, 0.5000) [4 per cell]  4 Pb 3.06
Pb (0.2500, 0.2500, 0.2500) [4 per cell]  4 Hf 3.06, 4 Gd 3.06

## Properties
Size of the total moment in μB/f.u.: 0.034
Energy above the most stable polymorph in this dataset in meV/atom: 0

[7]
Material: PmGdHf
Method: DFT, PBE
State: relaxed

Cell: 7.3937 7.3937 7.3937 Å, 90.00 90.00 90.00°
Last column: nearest neighbours and their distance in Å.
Space group F-43m (No. 216)
One atom of each set of equivalent atoms:
Pm (0.0000, 0.0000, 0.0000) [4 per cell]  4 Hf 3.20
Gd (0.0000, 0.0000, 0.5000) [4 per cell]  4 Hf 3.20
Hf (0.2500, 0.2500, 0.7500) [4 per cell]  4 Gd 3.20, 4 Pm 3.20

## Properties
Formation enthalpy at 0 K in eV/atom: 0.845
Size of the total moment in μB/f.u.: 1.190
Energy above the most stable polymorph in this dataset in meV/atom: 0

[8]
Material: Gd3HfPt
Method: DFT, PBE
State: relaxed

Cell: 7.6265 7.6265 18.8193 Å, 90.00 90.00 120.00°
Last column: nearest neighbours and their distance in Å.
Space group R-3c (No. 167, hexagonal axes)
One atom of each set of equivalent atoms:
Gd (0.0000, 0.4802, 0.2500) [18 per cell]  2 Pt 2.71
Hf (0.0000, 0.0000, 0.2500) [6 per cell]  12 Gd 3.66-3.96
Pt (0.0000, 0.0000, 0.0000) [6 per cell]  6 Gd 2.71

## Properties
Formation enthalpy at 0 K in eV/atom: 0.050
Size of the total moment in μB/f.u.: 2.081

[9]
Material: GdHfPt
Method: DFT, PBE
State: relaxed

Cell: 6.6741 6.6741 6.6741 Å, 90.00 90.00 90.00°
Last column: nearest neighbours and their distance in Å.
Space group F-43m (No. 216)
One atom of each set of equivalent atoms:
Gd (0.0000, 0.0000, 0.0000) [4 per cell]  4 Pt 2.89
Hf (0.0000, 0.0000, 0.5000) [4 per cell]  4 Pt 2.89
Pt (0.2500, 0.2500, 0.2500) [4 per cell]  4 Hf 2.89, 4 Gd 2.89

## Properties
Formation enthalpy at 0 K in eV/atom: -0.556
Size of the total moment in μB/f.u.: 0.001
Energy above the most stable polymorph in this dataset in meV/atom: 0

[10]
Material: GdHfPt
Method: DFT, PBE
State: relaxed

Cell: 6.5719 6.5719 6.5719 Å, 90.00 90.00 90.00°
Last column: nearest neighbours and their distance in Å.
Space group F-43m (No. 216)
One atom of each set of equivalent atoms:
Gd (0.0000, 0.0000, 0.0000) [4 per cell]  4 Hf 2.85, 4 Pt 2.85
Hf (0.2500, 0.2500, 0.7500) [4 per cell]  4 Gd 2.85
Pt (0.2500, 0.2500, 0.2500) [4 per cell]  4 Gd 2.85

## Properties
Formation enthalpy at 0 K in eV/atom: 0.357
Size of the total moment in μB/f.u.: 0.002
Energy above the most stable polymorph in this dataset in meV/atom: 913

[11]
Material: GdHfSi2Pt4
Method: DFT, PBE
State: relaxed

Cell: 7.0214 3.8685 9.9485 Å, 90.00 90.00 90.00°
Last column: nearest neighbours and their distance in Å.
Space group Amm2 (No. 38)
One atom of each set of equivalent atoms:
Gd (0.0000, 0.0000, 0.0000) [2 per cell]  3 Si 2.83-2.89, 8 Pt 3.00-3.11
Hf (0.5000, 0.0000, 0.1088) [2 per cell]  3 Si 2.81-2.90, 8 Pt 2.96-3.06
Si (0.0000, 0.0000, 0.2843) [2 per cell]  6 Pt 2.50-2.57
Si (0.5000, 0.0000, 0.8265) [2 per cell]  6 Pt 2.44-2.54
Pt (0.2065, 0.0000, 0.6959) [4 per cell]  3 Si 2.44-2.57
Pt (0.3036, 0.0000, 0.4154) [4 per cell]  3 Si 2.50-2.54, 1 Pt 2.76

## Properties
E_tot in eV for the cell shown: -116.63
Size of the total moment in μB/f.u.: 0.001

[12]
Material: GdPuHf
Method: DFT, PBE
State: relaxed

Cell: 7.1918 7.1918 7.1918 Å, 90.00 90.00 90.00°
Last column: nearest neighbours and their distance in Å.
Space group F-43m (No. 216)
One atom of each set of equivalent atoms:
Gd (0.0000, 0.0000, 0.0000) [4 per cell]  4 Hf 3.11
Pu (0.0000, 0.0000, 0.5000) [4 per cell]  4 Hf 3.11
Hf (0.2500, 0.2500, 0.2500) [4 per cell]  4 Gd 3.11, 4 Pu 3.11

## Properties
Formation enthalpy at 0 K in eV/atom: 0.831
Size of the total moment in μB/f.u.: 6.108